Here is a geometry-optimized SiBRhS structure from the Alexandria database. Energies are from GGA-PBE.

Output
energy: -6.029 eV per atom
raw formation energy: -0.134 eV per atom
space-group type: Cm (8)

Cell: 4.921 3.054 7.537 Å, 90.00 94.27 90.00°
Element x y z (fractional)
B  0.244  0.500  0.289
S  0.928  0.500  0.409
S  0.928  0.000  0.909
Rh  0.352  0.500  0.605
Si  0.582  0.500  0.891
Si  0.582  0.000  0.391
B  0.244  0.000  0.789
Rh  0.352  0.000  0.105